(1)
# La3Sm6Dy2In | the Alexandria database | GGA-PBE | relaxed
data_La3Sm6Dy2In
_cell_length_a 6.2535
_cell_length_b 6.2535
_cell_length_c 11.8757
_cell_angle_alpha 95.11
_cell_angle_beta 95.11
_cell_angle_gamma 120.13
_space_group_name_H-M_alt 'P 1'
_space_group_IT_number 1
_space_group_name_Hall 'P 1'
loop_
_atom_site_label
_atom_site_fract_x
_atom_site_fract_y
_atom_site_fract_z
Sm1 0.2459 0.2459 0.7569
Dy1 0.6659 0.3341 0.0000
La1 0.8297 0.1703 0.5000
Sm2 0.4051 0.0795 0.2411
Sm3 0.5949 0.9205 0.7589
Sm4 0.9205 0.5949 0.7589
La2 0.5000 0.5000 0.5000
Dy2 0.3341 0.6659 0.0000
Sm5 0.0795 0.4051 0.2411
Sm6 0.7541 0.7541 0.2431
La3 0.1703 0.8297 0.5000
In1 0.0000 0.0000 0.0000
# SG ... C2/m, No. 12
# Total DFT energy (no corrections) ... -4.621 eV/atom

(2)
# LaSmDyIn | the Alexandria database | GGA-PBE | relaxed
data_LaSmDyIn
_cell_length_a 5.5286
_cell_length_b 5.5286
_cell_length_c 5.5293
_cell_angle_alpha 120.00
_cell_angle_beta 120.00
_cell_angle_gamma 90.00
_space_group_name_H-M_alt 'P 1'
_space_group_IT_number 1
_space_group_name_Hall 'P 1'
loop_
_atom_site_label
_atom_site_fract_x
_atom_site_fract_y
_atom_site_fract_z
Dy1 0.0000 0.0000 0.0000
La1 0.7500 0.2500 0.5000
Sm1 0.5000 0.5000 0.0000
In1 0.2500 0.7500 0.5000
# Distance to the lowest polymorph of the same formula ... 53.5 meV per atom
# SG ... F-43m, No. 216

| no. | DOS(E_F) (states/eV per atom) |
| --- | --- |
| 1 | 1.40 |
| 2 | 1.85 |